# 1
The following is a GGA-PBE calculation of Ca2BiPt2 after structural relaxation, from Alexandria.

Values from the calculation:
- calculated formation energy (eV per atom) = -0.85
- magnetization (μB/cell) = 0.000
- offset from the most stable computed form (eV per atom) = 0.000
- V (Å³ per atom) = 23.69
- DFT total energy (eV/atom) = -4.847

Unit cell a=10.162 b=5.689 c=8.464 alpha=90.00 beta=104.49 gamma=90.00
Space group C2/c (No. 15)
Asymmetric unit:
Ca 0.151 0.157 0.152
Bi 0.000 0.315 0.750
Pt 0.137 0.370 0.488



# 2
The following is a GGA-PBE calculation of LaIrRh2 after structural relaxation, from Alexandria.

Values from the calculation:
- calculated formation energy (eV per atom) = -0.16
- magnetization (μB/cell) = 0.000
- offset from the most stable computed form (eV per atom) = 0.335
- V (Å³ per atom) = 17.89
- DFT total energy (eV/atom) = -7.287

Unit cell a=4.166 b=4.166 c=8.246 alpha=90.00 beta=90.00 gamma=90.00
Space group I-4m2 (No. 119)
Asymmetric unit:
La 0.000 0.000 0.000
Ir 0.000 0.500 0.250
Rh 0.000 0.000 0.500
Rh 0.000 0.500 0.750



# 3
The following is a GGA-PBE calculation of Sc2Zn5Ag after structural relaxation, from Alexandria.

Values from the calculation:
- calculated formation energy (eV per atom) = -0.22
- magnetization (μB/cell) = 0.000
- V (Å³ per atom) = 17.69
- DFT total energy (eV/atom) = -2.958

Unit cell a=3.773 b=16.313 c=9.197 alpha=90.00 beta=90.00 gamma=90.00
Space group Cmcm (No. 63)
Asymmetric unit:
Sc 0.000 0.000 0.000
Sc 0.000 0.181 0.250
Zn 0.000 0.209 0.600
Zn 0.000 0.366 0.524
Zn 0.000 0.378 0.250
Ag 0.000 0.464 0.750



# 4
The following is a GGA-PBE calculation of CeScRu after structural relaxation, from Alexandria.

Values from the calculation:
- calculated formation energy (eV per atom) = -0.35
- magnetization (μB/cell) = 1.160
- offset from the most stable computed form (eV per atom) = 0.000
- V (Å³ per atom) = 22.64
- DFT total energy (eV/atom) = -7.528

Unit cell a=4.564 b=4.564 c=6.521 alpha=90.00 beta=90.00 gamma=90.00
Space group P4/nmm (No. 129, origin choice 2)
Asymmetric unit:
Ce 0.250 0.250 0.117
Sc 0.250 0.750 0.500
Ru 0.250 0.250 0.758



# 5
The following is a GGA-PBE calculation of KHfGaOs2 after structural relaxation, from Alexandria.

Values from the calculation:
- calculated formation energy (eV per atom) = 1.82
- magnetization (μB/cell) = 0.670
- V (Å³ per atom) = 28.11
- DFT total energy (eV/atom) = -5.487

Unit cell a=4.875 b=4.875 c=5.914 alpha=90.00 beta=90.00 gamma=90.00
Space group P4/mmm (No. 123)
Asymmetric unit:
K 0.000 0.000 0.000
Hf 0.000 0.000 0.500
Ga 0.500 0.500 0.000
Os 0.000 0.500 0.500



# 6
The following is a GGA-PBE calculation of Pr4TlGe after structural relaxation, from Alexandria.

Values from the calculation:
- calculated formation energy (eV per atom) = -0.41
- magnetization (μB/cell) = 0.000
- offset from the most stable computed form (eV per atom) = 0.000
- V (Å³ per atom) = 31.24
- DFT total energy (eV/atom) = -4.765

Unit cell a=6.190 b=6.898 c=8.849 alpha=90.00 beta=97.26 gamma=90.00
Space group P2_1/m (No. 11)
Asymmetric unit:
Pr 0.137 0.011 0.261
Pr 0.353 0.750 0.950
Pr 0.355 0.250 0.648
Tl 0.274 0.750 0.584
Ge 0.162 0.250 0.962



# 7
The following is a GGA-PBE calculation of La2ZnNi4Sb3 after structural relaxation, from Alexandria.

Values from the calculation:
- magnetization (μB/cell) = 0.000
- raw formation energy (eV/f.u.) = -6.7
- V (Å³ per atom) = 19.65
- DFT total energy (eV/atom) = -5.335

Unit cell a=4.414 b=4.414 c=10.087 alpha=90.00 beta=90.00 gamma=90.00
Space group P-4m2 (No. 115)
Asymmetric unit:
La 0.000 0.500 0.244
Zn 0.000 0.000 0.500
Ni 0.000 0.000 0.000
Ni 0.000 0.500 0.620
Ni 0.500 0.500 0.000
Sb 0.000 0.500 0.869
Sb 0.500 0.500 0.500



# 8
The following is a GGA-PBE calculation of CdCO2F after structural relaxation, from Alexandria.

Values from the calculation:
- magnetization (μB/cell) = 0.000
- raw formation energy (eV/f.u.) = 0.9
- V (Å³ per atom) = 9.57
- DFT total energy (eV/atom) = -4.200

Unit cell a=3.542 b=3.542 c=3.816 alpha=90.00 beta=90.00 gamma=90.00
Space group P4/mmm (No. 123)
Asymmetric unit:
Cd 0.000 0.000 0.000
C 0.500 0.500 0.500
O 0.000 0.500 0.500
F 0.500 0.500 0.000



# 9
The following is a GGA-PBE calculation of BaIn2Tc after structural relaxation, from Alexandria.

Values from the calculation:
- calculated formation energy (eV per atom) = 0.61
- magnetization (μB/cell) = 9.258
- offset from the most stable computed form (eV per atom) = 0.480
- V (Å³ per atom) = 26.61
- DFT total energy (eV/atom) = -3.829

Unit cell a=7.523 b=7.523 c=7.523 alpha=90.00 beta=90.00 gamma=90.00
Space group F-43m (No. 216)
Asymmetric unit:
Ba 0.000 0.000 0.000
In 0.000 0.000 0.500
In 0.250 0.250 0.750
Tc 0.250 0.250 0.250



# 10
The following is a GGA-PBE calculation of LiAc2SbSe6 after structural relaxation, from Alexandria.

Values from the calculation:
- magnetization (μB/cell) = 0.000
- raw formation energy (eV/f.u.) = -12.3
- V (Å³ per atom) = 27.30
- DFT total energy (eV/atom) = -4.741

Unit cell a=6.997 b=7.732 c=12.162 alpha=90.00 beta=123.93 gamma=90.00
Space group P2_1/c (No. 14)
Asymmetric unit:
Li 0.000 0.000 0.000
Ac 0.211 0.108 0.750
Sb 0.500 0.000 0.500
Se 0.128 0.179 0.448
Se 0.274 0.688 0.455
Se 0.356 0.008 0.246



# 11
The following is a GGA-PBE calculation of CePd2Pt5 after structural relaxation, from Alexandria.

Values from the calculation:
- calculated formation energy (eV per atom) = -0.31
- magnetization (μB/cell) = 0.000
- V (Å³ per atom) = 17.97
- DFT total energy (eV/atom) = -6.123

Unit cell a=3.767 b=8.071 c=9.458 alpha=90.00 beta=90.00 gamma=90.00
Space group Immm (No. 71)
Asymmetric unit:
Ce 0.000 0.000 0.000
Pd 0.000 0.500 0.293
Pt 0.000 0.182 0.353
Pt 0.000 0.500 0.000



# 12
The following is a GGA-PBE calculation of V4Cr2Tc3 after structural relaxation, from Alexandria.

Values from the calculation:
- calculated formation energy (eV per atom) = -0.22
- magnetization (μB/cell) = 0.000
- offset from the most stable computed form (eV per atom) = 0.000
- V (Å³ per atom) = 13.36
- DFT total energy (eV/atom) = -9.866

Unit cell a=4.2306 b=4.2306 c=7.7547 alpha=90.00 beta=90.00 gamma=120.00
Space group P-3m1 (No. 164)
Asymmetric unit:
V 0.0000 0.0000 0.1727
V 0.3333 0.6667 0.6103
Cr 0.3333 0.6667 0.2772
Tc 0.0000 0.0000 0.5000
Tc 0.3333 0.6667 0.9429